# La3Pm2PrDy6

A relaxed structure of La3Pm2PrDy6 (PBE, Alexandria via LeMat-Bulk).

```
data_La3Pm2PrDy6
_cell_length_a 6.3030
_cell_length_b 10.9192
_cell_length_c 11.8850
_cell_angle_alpha 90.00
_cell_angle_beta 100.16
_cell_angle_gamma 90.00
_symmetry_space_group_name_H-M 'C 1 2/m 1'
_symmetry_Int_Tables_number 12
loop_
_symmetry_equiv_pos_as_xyz
'x,y,z'
'-x,-y,-z'
'-x,y,-z'
'x,-y,z'
'x+1/2,y+1/2,z'
'-x+1/2,-y+1/2,-z'
'-x+1/2,y+1/2,-z'
'x+1/2,-y+1/2,z'
loop_
_atom_site_label
_atom_site_type_symbol
_atom_site_fract_x
_atom_site_fract_y
_atom_site_fract_z
La1 La 0.0000 0.0000 0.0000
La2 La 0.0000 0.3332 0.0000
Pm1 Pm 0.0000 0.1667 0.5000
Pr1 Pr 0.0000 0.5000 0.5000
Dy1 Dy 0.2488 0.0000 0.7478
Dy2 Dy 0.2493 0.3332 0.7478
```

Summary:
The value obtained for the volume is 33.55 A^3/atom. The value obtained for the total moment is 0.0 μB per formula unit. As for the energy relative to the elements: 0.012 eV per atom.